No. 1
An optimized crystal structure of ScTiPb2, computed with PBE.

Lattice parameters (Å, degrees): 7.880 7.880 6.424 52.17 52.17 90.00
Site moments in Bohr magnetons follow the coordinates.
Atoms (fractional coordinates):
1 Pb 0.375 0.362 0.750  -0.01
2 Ti 0.750 0.250 0.500  0.54
3 Pb 0.875 0.888 0.750  -0.01
4 Pb 0.112 0.625 0.250  -0.01
5 Pb 0.638 0.125 0.250  -0.01
6 Sc 0.250 0.750 0.500  0.10
7 Sc 0.500 0.500 0.000  0.10
8 Ti 0.000 0.000 0.000  0.54

Its space-group type is I-42d, No. 122. Its crystal system is tetragonal. The value obtained for the formation energy from the elements is 0.3 eV/f.u. The energy above the most stable polymorph in this dataset is 131.5 meV/atom.

***

No. 2
An optimized crystal structure of Dy6Tm2Ni, computed with PBE.

Lattice parameters (Å, degrees): 3.555 8.994 9.584 117.93 90.00 90.00
Atoms (fractional coordinates):
1 Ni 0.000 0.000 0.000
2 Dy 0.000 0.665 0.673
3 Dy 0.000 0.007 0.673
4 Tm 0.500 0.325 0.649
5 Dy 0.500 0.242 0.000
6 Dy 0.500 0.758 0.000
7 Tm 0.500 0.675 0.351
8 Dy 0.000 0.993 0.327
9 Dy 0.000 0.335 0.327

Its space-group type is P2/m, No. 10. Its crystal system is monoclinic. The value obtained for the formation energy from the elements is 1.1 eV/f.u.

***

No. 3
An optimized crystal structure of PaCl3F6, computed with PBE.

Lattice parameters (Å, degrees): 7.278 6.662 5.380 93.71 90.00 123.11
Site moments in Bohr magnetons follow the coordinates.
Atoms (fractional coordinates):
1 F 0.396 0.211 0.353  0.03
2 Cl 0.833 0.666 0.163  0.46
3 F 0.604 0.789 0.647  0.03
4 F 0.384 0.768 0.172  0.03
5 F 0.616 0.232 0.828  0.03
6 F 0.815 0.211 0.353  0.03
7 Pa 0.500 0.000 0.500  0.01
8 Cl 0.167 0.334 0.837  0.46
9 Cl 0.000 0.000 0.000  0.49
10 F 0.185 0.789 0.647  0.03

Its space-group type is C2/m, No. 12. Its crystal system is monoclinic. The total energy comes out at -0.178 hartree per atom.

***

No. 4
An optimized crystal structure of CsZn2SiPb, computed with PBE.

Lattice parameters (Å, degrees): 5.397 5.430 5.397 90.00 90.00 90.00
Atoms (fractional coordinates):
1 Cs 0.500 0.500 0.500
2 Zn 0.500 0.000 0.000
3 Si 0.000 0.000 0.000
4 Pb 0.000 0.500 0.000
5 Zn 0.000 0.000 0.500

Its space-group type is P4/mmm, No. 123. Its crystal system is tetragonal. The energy above the most stable polymorph in this dataset is 0.0 meV/atom.

***

No. 5
An optimized crystal structure of Ca3Nd2Pt4, computed with PBE.

Lattice parameters (Å, degrees): 7.468 7.886 7.853 90.00 90.00 108.90
Atoms (fractional coordinates):
1 Pt 0.630 0.529 0.632
2 Pt 0.370 0.471 0.368
3 Ca 0.256 0.750 0.177
4 Pt 0.655 0.927 0.027
5 Ca 0.500 0.500 0.000
6 Ca 0.244 0.250 0.677
7 Nd 0.066 0.189 0.182
8 Pt 0.870 0.471 0.132
9 Nd 0.934 0.811 0.818
10 Pt 0.155 0.927 0.473
11 Pt 0.845 0.073 0.527
12 Ca 0.000 0.500 0.500
13 Nd 0.566 0.189 0.318
14 Pt 0.345 0.073 0.973
15 Nd 0.434 0.811 0.682
16 Ca 0.756 0.750 0.323
17 Ca 0.744 0.250 0.823
18 Pt 0.130 0.529 0.868

Its space-group type is P2_1/c, No. 14. Its crystal system is monoclinic. The value obtained for the formation energy from the elements is -8.8 eV/f.u.

***

No. 6
An optimized crystal structure of Si3BSe, computed with PBE.

Lattice parameters (Å, degrees): 4.257 4.257 4.257 90.00 90.00 90.00
Atoms (fractional coordinates):
1 Si 0.500 0.000 0.000
2 Se 0.500 0.500 0.500
3 Si 0.000 0.500 0.000
4 B 0.000 0.000 0.000
5 Si 0.000 0.000 0.500

Its space-group type is Pm-3m, No. 221. Its crystal system is cubic. The energy above the most stable polymorph in this dataset is 0.0 meV/atom.

***

No. 7
An optimized crystal structure of TmTe, computed with PBE.

Lattice parameters (Å, degrees): 4.111 4.111 7.759 90.00 90.00 120.00
Atoms (fractional coordinates):
1 Tm 0.667 0.333 0.750
2 Te 0.000 0.000 0.500
3 Tm 0.333 0.667 0.250
4 Te 0.000 0.000 0.000

Its space-group type is P6_3/mmc, No. 194. Its crystal system is hexagonal. The total energy comes out at -0.182 hartree per atom.

***

No. 8
An optimized crystal structure of SrCrPb2Se, computed with PBE.

Lattice parameters (Å, degrees): 5.924 4.715 5.924 90.00 90.00 90.00
Site moments in Bohr magnetons follow the coordinates.
Atoms (fractional coordinates):
1 Pb 0.500 0.000 0.000  -0.10
2 Se 0.000 0.000 0.000  -0.07
3 Cr 0.000 0.500 0.000  3.62
4 Pb 0.000 0.000 0.500  -0.09
5 Sr 0.500 0.500 0.500  -0.03

Its space-group type is P4/mmm, No. 123. Its crystal system is tetragonal. The total energy comes out at -0.161 hartree per atom.